Version A
Density functional theory data (PBE) for crystalline MnTeBr2 at its relaxed geometry.

Cell and atoms, written as CIF:
```
data_MnTeBr2
_cell_length_a 3.485
_cell_length_b 3.485
_cell_length_c 8.829
_cell_angle_alpha 90.00
_cell_angle_beta 90.00
_cell_angle_gamma 90.00
_symmetry_space_group_name_H-M 'P 4 m m'
_symmetry_Int_Tables_number 99
_symmetry_space_group_name_Hall 'P 4 -2'
loop_
_atom_site_label
_atom_site_fract_x
_atom_site_fract_y
_atom_site_fract_z
_atom_site_occupancy
Mn1 0.000 0.000 0.000 1
Te1 0.500 0.500 0.197 1
Br1 0.000 0.000 0.431 1
Br2 0.500 0.500 0.821 1
```



Version B
Density functional theory data (PBE) for crystalline MnTeBr2 at its relaxed geometry.

Cell and atoms, written as CIF:
```
data_MnTeBr2
_cell_length_a 6.044
_cell_length_b 3.627
_cell_length_c 6.564
_cell_angle_alpha 90.00
_cell_angle_beta 107.33
_cell_angle_gamma 90.00
_symmetry_space_group_name_H-M 'P 1 m 1'
_symmetry_Int_Tables_number 6
_symmetry_space_group_name_Hall 'P -2y'
loop_
_atom_site_label
_atom_site_fract_x
_atom_site_fract_y
_atom_site_fract_z
_atom_site_occupancy
Mn1 0.000 0.000 0.000 1
Te1 0.244 0.500 0.263 1
Br1 0.649 0.000 0.101 1
Br2 0.924 0.500 0.718 1
```



In terms of stability, version B leads; the second structure lies 33.2 kJ/mol of atoms higher.